The following is a PBE-GGA calculation of crystalline Ac7Pr3Ho at its relaxed geometry, from the Alexandria database.

Structure (POSCAR):
```
Ac7Pr3Ho
1.0
6.931 0.055 0.508
0.519 8.260 0.959
0.046 -0.173 8.329
Ac Ho Pr
7 1 3
Cartesian
1.866 0.617 3.726
2.027 3.486 1.218
5.467 4.656 8.578
0.282 4.043 4.644
5.628 7.525 6.071
5.484 1.975 2.611
2.011 6.167 7.185
3.747 4.071 4.898
0.123 1.209 7.121
3.465 0.027 0.254
0.441 6.878 2.167
```

## Properties
Energy = -4.07 eV/atom
Formation enthalpy at 0 K = 0.2609 eV per atom
Space-group type = C2/m (12)

The following is a PBE-GGA calculation of crystalline K2NaTiI6 at its relaxed geometry, from the Alexandria database.

Structure (POSCAR):
```
K2NaTiI6
1.0
8.359 0.000 0.000
4.179 7.239 0.000
4.179 2.413 6.804
I K Ti Na
6 2 1 1
Cartesian
2.594 0.694 1.839
9.083 2.626 5.382
6.461 1.900 1.839
9.902 6.554 5.382
6.091 5.299 5.382
3.483 4.646 1.839
8.359 4.826 2.492
4.179 2.413 6.028
4.179 2.413 0.230
12.538 7.239 3.713
```

## Properties
Energy = -3.17 eV/atom
Space-group type = R3 (146)